Compound: Ca2ZnAgF8
Source: Alexandria via LeMat-Bulk
Functional: PBE
Structure: relaxed

```
data_Ca2ZnAgF8
_cell_length_a 3.977
_cell_length_b 5.414
_cell_length_c 7.830
_cell_angle_alpha 83.46
_cell_angle_beta 90.90
_cell_angle_gamma 96.88
_space_group_name_H-M_alt 'P 1'
_space_group_IT_number 1
_space_group_name_Hall 'P 1'
loop_
_atom_site_label
_atom_site_fract_x
_atom_site_fract_y
_atom_site_fract_z
Ca1 0.501 0.496 0.757
Ca2 0.499 0.504 0.243
Zn1 0.000 0.000 0.000
Ag1 0.000 0.000 0.500
F1 0.050 0.752 0.206
F2 0.574 0.761 0.975
F3 0.947 0.247 0.267
F4 0.950 0.248 0.794
F5 0.426 0.239 0.025
F6 0.053 0.753 0.733
F7 0.559 0.742 0.478
F8 0.441 0.258 0.522
```

Computed properties:
The uncorrected formation energy comes out at -2.79 eV per atom. Its crystal system is triclinic.

---

Compound: CaZnAg2F8
Source: Alexandria via LeMat-Bulk
Functional: PBE
Structure: relaxed

```
data_CaZnAg2F8
_cell_length_a 4.883
_cell_length_b 5.200
_cell_length_c 7.111
_cell_angle_alpha 85.22
_cell_angle_beta 87.37
_cell_angle_gamma 87.53
_space_group_name_H-M_alt 'P 1'
_space_group_IT_number 1
_space_group_name_Hall 'P 1'
loop_
_atom_site_label
_atom_site_fract_x
_atom_site_fract_y
_atom_site_fract_z
Ca1 0.000 0.000 0.500
Zn1 0.000 0.000 0.000
Ag1 0.489 0.490 0.762
Ag2 0.511 0.510 0.238
F1 0.184 0.806 0.237
F2 0.715 0.730 0.015
F3 0.813 0.191 0.226
F4 0.816 0.194 0.763
F5 0.285 0.270 0.985
F6 0.187 0.809 0.774
F7 0.679 0.703 0.528
F8 0.321 0.297 0.472
```

Computed properties:
The uncorrected formation energy comes out at -2.09 eV per atom. Its crystal system is triclinic.

---

Compound: CaFe3Ag
Source: Alexandria via LeMat-Bulk
Functional: PBE
Structure: relaxed

```
data_CaFe3Ag
_cell_length_a 4.816
_cell_length_b 4.816
_cell_length_c 4.816
_cell_angle_alpha 90.00
_cell_angle_beta 90.00
_cell_angle_gamma 90.00
_space_group_name_H-M_alt 'P 1'
_space_group_IT_number 1
_space_group_name_Hall 'P 1'
loop_
_atom_site_label
_atom_site_fract_x
_atom_site_fract_y
_atom_site_fract_z
Ca1 0.500 0.500 0.500
Fe1 0.000 0.500 0.000
Fe2 0.000 0.000 0.500
Fe3 0.500 0.000 0.000
Ag1 0.000 0.000 0.000
```

Computed properties:
The formation energy comes out at 547 kJ/mol of formula units. For the offset from the most stable computed form, the calculation gives 0.00 eV per formula unit. Its crystal system is cubic.

---

Compound: Ca2FeAg
Source: Alexandria via LeMat-Bulk
Functional: PBE
Structure: relaxed

```
data_Ca2FeAg
_cell_length_a 3.534
_cell_length_b 3.534
_cell_length_c 8.225
_cell_angle_alpha 90.00
_cell_angle_beta 90.00
_cell_angle_gamma 90.00
_space_group_name_H-M_alt 'P 1'
_space_group_IT_number 1
_space_group_name_Hall 'P 1'
loop_
_atom_site_label
_atom_site_fract_x
_atom_site_fract_y
_atom_site_fract_z
Ca1 0.000 0.000 0.934
Ca2 0.500 0.500 0.318
Fe1 0.000 0.000 0.553
Ag1 0.500 0.500 0.695
```

Computed properties:
The formation energy comes out at 99 kJ/mol of formula units. For the offset from the most stable computed form, the calculation gives 0.33 eV per formula unit. Its crystal system is tetragonal.

---

Compound: Ca2FeAg
Source: Alexandria via LeMat-Bulk
Functional: PBE
Structure: relaxed

```
data_Ca2FeAg
_cell_length_a 3.880
_cell_length_b 3.880
_cell_length_c 8.820
_cell_angle_alpha 82.89
_cell_angle_beta 82.89
_cell_angle_gamma 49.85
_space_group_name_H-M_alt 'P 1'
_space_group_IT_number 1
_space_group_name_Hall 'P 1'
loop_
_atom_site_label
_atom_site_fract_x
_atom_site_fract_y
_atom_site_fract_z
Ca1 0.002 0.002 0.985
Ca2 0.498 0.498 0.515
Fe1 0.750 0.750 0.750
Ag1 0.250 0.250 0.250
```

Computed properties:
The formation energy comes out at 155 kJ/mol of formula units. For the offset from the most stable computed form, the calculation gives 0.92 eV per formula unit. Its crystal system is monoclinic.

---

Compound: Ca2FeAg
Source: Alexandria via LeMat-Bulk
Functional: PBE
Structure: relaxed

```
data_Ca2FeAg
_cell_length_a 5.887
_cell_length_b 5.887
_cell_length_c 5.887
_cell_angle_alpha 136.48
_cell_angle_beta 136.48
_cell_angle_gamma 63.23
_space_group_name_H-M_alt 'P 1'
_space_group_IT_number 1
_space_group_name_Hall 'P 1'
loop_
_atom_site_label
_atom_site_fract_x
_atom_site_fract_y
_atom_site_fract_z
Ca1 0.000 0.000 0.000
Ca2 0.250 0.750 0.500
Fe1 0.500 0.500 0.000
Ag1 0.750 0.250 0.500
```

Computed properties:
The formation energy comes out at 128 kJ/mol of formula units. For the offset from the most stable computed form, the calculation gives 0.64 eV per formula unit. Its crystal system is tetragonal.

---

Compound: CaFeAg4
Source: Alexandria via LeMat-Bulk
Functional: PBE
Structure: relaxed

```
data_CaFeAg4
_cell_length_a 5.551
_cell_length_b 5.551
_cell_length_c 5.551
_cell_angle_alpha 60.00
_cell_angle_beta 60.00
_cell_angle_gamma 60.00
_space_group_name_H-M_alt 'P 1'
_space_group_IT_number 1
_space_group_name_Hall 'P 1'
loop_
_atom_site_label
_atom_site_fract_x
_atom_site_fract_y
_atom_site_fract_z
Ca1 0.750 0.750 0.750
Fe1 0.000 0.000 0.000
Ag1 0.876 0.375 0.375
Ag2 0.375 0.375 0.876
Ag3 0.375 0.876 0.375
Ag4 0.375 0.375 0.375
```

Computed properties:
The formation energy comes out at 110 kJ/mol of formula units. Its crystal system is cubic.

---

Compound: Ca2FeAg
Source: Alexandria via LeMat-Bulk
Functional: PBE
Structure: relaxed

```
data_Ca2FeAg
_cell_length_a 6.291
_cell_length_b 6.291
_cell_length_c 6.291
_cell_angle_alpha 147.47
_cell_angle_beta 132.71
_cell_angle_gamma 58.57
_space_group_name_H-M_alt 'P 1'
_space_group_IT_number 1
_space_group_name_Hall 'P 1'
loop_
_atom_site_label
_atom_site_fract_x
_atom_site_fract_y
_atom_site_fract_z
Ca1 0.019 0.019 0.000
Ca2 0.728 0.228 0.500
Fe1 0.467 0.467 0.000
Ag1 0.286 0.786 0.500
```

Computed properties:
The formation energy comes out at 87 kJ/mol of formula units. For the offset from the most stable computed form, the calculation gives 0.21 eV per formula unit. Its crystal system is orthorhombic.

---

Compound: CaFe4Ag
Source: Alexandria via LeMat-Bulk
Functional: PBE
Structure: relaxed

```
data_CaFe4Ag
_cell_length_a 5.067
_cell_length_b 5.067
_cell_length_c 5.067
_cell_angle_alpha 60.00
_cell_angle_beta 60.00
_cell_angle_gamma 60.00
_space_group_name_H-M_alt 'P 1'
_space_group_IT_number 1
_space_group_name_Hall 'P 1'
loop_
_atom_site_label
_atom_site_fract_x
_atom_site_fract_y
_atom_site_fract_z
Ca1 0.000 0.000 0.000
Fe1 0.877 0.374 0.374
Fe2 0.374 0.374 0.877
Fe3 0.374 0.877 0.374
Fe4 0.374 0.374 0.374
Ag1 0.750 0.750 0.750
```

Computed properties:
The formation energy comes out at 142 kJ/mol of formula units. Its crystal system is cubic.

---

Compound: Ca2FeAg
Source: Alexandria via LeMat-Bulk
Functional: PBE
Structure: relaxed

```
data_Ca2FeAg
_cell_length_a 7.986
_cell_length_b 7.986
_cell_length_c 6.461
_cell_angle_alpha 51.83
_cell_angle_beta 51.83
_cell_angle_gamma 90.00
_space_group_name_H-M_alt 'P 1'
_space_group_IT_number 1
_space_group_name_Hall 'P 1'
loop_
_atom_site_label
_atom_site_fract_x
_atom_site_fract_y
_atom_site_fract_z
Ca1 0.621 0.125 0.250
Ca2 0.129 0.625 0.250
Ca3 0.375 0.379 0.750
Ca4 0.875 0.871 0.750
Fe1 0.500 0.500 0.000
Fe2 0.250 0.750 0.500
Ag1 0.000 0.000 0.000
Ag2 0.750 0.250 0.500
```

Computed properties:
The formation energy comes out at 190 kJ/mol of formula units. For the offset from the most stable computed form, the calculation gives 1.28 eV per formula unit. Its crystal system is tetragonal.

---

Compound: Ca2FeAg
Source: Alexandria via LeMat-Bulk
Functional: PBE
Structure: relaxed

```
data_Ca2FeAg
_cell_length_a 4.476
_cell_length_b 4.142
_cell_length_c 5.945
_cell_angle_alpha 69.71
_cell_angle_beta 90.00
_cell_angle_gamma 90.00
_space_group_name_H-M_alt 'P 1'
_space_group_IT_number 1
_space_group_name_Hall 'P 1'
loop_
_atom_site_label
_atom_site_fract_x
_atom_site_fract_y
_atom_site_fract_z
Ca1 0.000 0.979 0.916
Ca2 0.500 0.271 0.333
Fe1 0.000 0.688 0.500
Ag1 0.500 0.562 0.751
```

Computed properties:
The formation energy comes out at 66 kJ/mol of formula units. For the offset from the most stable computed form, the calculation gives 0.00 eV per formula unit. Its crystal system is monoclinic.

---

Compound: Ca4FeAg
Source: Alexandria via LeMat-Bulk
Functional: PBE
Structure: relaxed

```
data_Ca4FeAg
_cell_length_a 6.517
_cell_length_b 6.517
_cell_length_c 6.517
_cell_angle_alpha 60.00
_cell_angle_beta 60.00
_cell_angle_gamma 60.00
_space_group_name_H-M_alt 'P 1'
_space_group_IT_number 1
_space_group_name_Hall 'P 1'
loop_
_atom_site_label
_atom_site_fract_x
_atom_site_fract_y
_atom_site_fract_z
Ca1 0.873 0.376 0.376
Ca2 0.376 0.376 0.873
Ca3 0.376 0.873 0.376
Ca4 0.376 0.376 0.376
Fe1 0.750 0.750 0.750
Ag1 0.000 0.000 0.000
```

Computed properties:
The formation energy comes out at 471 kJ/mol of formula units. Its crystal system is cubic.